(1)
This record from Alexandria via LeMat-Bulk describes a relaxed structure of CrCu. The functional is PBE.

Geometry as POSCAR:
```
CrCu
1.0
7.045 0.000 0.000
0.000 7.045 0.000
0.000 0.000 7.045
Cr Cu
6 6
Direct
0.000 0.250 0.500
0.000 0.750 0.500
0.250 0.500 0.000
0.500 0.000 0.250
0.500 0.000 0.750
0.750 0.500 0.000
0.000 0.500 0.250
0.000 0.500 0.750
0.250 0.000 0.500
0.500 0.250 0.000
0.500 0.750 0.000
0.750 0.000 0.500
```

Properties
* E: -5.219 eV/atom
* formation enthalpy at 0 K: 1.64 eV per atom

=====

(2)
This record from Alexandria via LeMat-Bulk describes a relaxed structure of Cr3Cu. The functional is PBE.

Geometry as POSCAR:
```
Cr3Cu
1.0
0.000 2.921 2.921
2.921 0.000 2.921
2.921 2.921 0.000
Cr Cu
3 1
Direct
0.000 0.000 0.000
0.250 0.250 0.250
0.750 0.750 0.750
0.500 0.500 0.500
```

Properties
* E: -7.925 eV/atom
* formation enthalpy at 0 K: 0.32 eV per atom

=====

(3)
This record from Alexandria via LeMat-Bulk describes a relaxed structure of CrCu. The functional is PBE.

Geometry as POSCAR:
```
CrCu
1.0
0.000 2.832 2.832
2.832 0.000 2.832
2.832 2.832 0.000
Cr Cu
1 1
Direct
0.000 0.000 0.000
0.250 0.250 0.250
```

Properties
* E: -5.267 eV/atom
* formation enthalpy at 0 K: 1.59 eV per atom

=====

(4)
This record from Alexandria via LeMat-Bulk describes a relaxed structure of CrCu. The functional is PBE.

Geometry as POSCAR:
```
CrCu
1.0
4.843 0.000 0.000
0.000 4.843 0.000
0.000 0.000 4.843
Cr Cu
4 4
Direct
0.095 0.405 0.595
0.405 0.595 0.095
0.595 0.095 0.405
0.905 0.905 0.905
0.097 0.903 0.403
0.403 0.097 0.903
0.597 0.597 0.597
0.903 0.403 0.097
```

Properties
* E: -6.236 eV/atom
* formation enthalpy at 0 K: 0.62 eV per atom

=====

(5)
This record from Alexandria via LeMat-Bulk describes a relaxed structure of Cr3Cu. The functional is PBE.

Geometry as POSCAR:
```
Cr3Cu
1.0
2.392 0.000 0.000
0.000 4.077 0.000
-0.889 0.000 4.797
Cr Cu
3 1
Direct
0.000 0.000 0.000
0.228 0.500 0.755
0.772 0.500 0.245
0.500 0.000 0.500
```

Properties
* E: -8.012 eV/atom
* formation enthalpy at 0 K: 0.23 eV per atom

=====

(6)
This record from Alexandria via LeMat-Bulk describes a relaxed structure of CrCu. The functional is PBE.

Geometry as POSCAR:
```
CrCu
1.0
0.000 2.877 2.877
2.877 0.000 2.877
2.877 2.877 0.000
Cr Cu
2 2
Direct
0.125 0.125 0.125
0.875 0.875 0.875
0.375 0.375 0.375
0.625 0.625 0.625
```

Properties
* E: -6.443 eV/atom
* formation enthalpy at 0 K: 0.42 eV per atom

=====

(7)
This record from Alexandria via LeMat-Bulk describes a relaxed structure of Cr4Cu5. The functional is PBE.

Geometry as POSCAR:
```
Cr4Cu5
1.0
-4.315 4.315 1.455
4.315 -4.315 1.455
4.315 4.315 -1.455
Cr Cu
4 5
Direct
0.000 0.348 0.348
0.000 0.652 0.652
0.348 0.000 0.348
0.652 0.000 0.652
0.000 0.000 0.000
0.333 0.333 0.666
0.333 0.667 0.000
0.667 0.333 0.000
0.667 0.667 0.334
```

Properties
* E: -6.309 eV/atom
* formation enthalpy at 0 K: 0.24 eV per atom

=====

(8)
This record from Alexandria via LeMat-Bulk describes a relaxed structure of CrCu. The functional is PBE.

Geometry as POSCAR:
```
CrCu
1.0
-1.829 1.829 3.530
1.829 -1.829 3.530
1.829 1.829 -3.530
Cr Cu
2 2
Direct
0.375 0.625 0.750
0.625 0.375 0.250
0.125 0.875 0.250
0.875 0.125 0.750
```

Properties
* E: -6.498 eV/atom
* formation enthalpy at 0 K: 0.36 eV per atom

=====

(9)
This record from Alexandria via LeMat-Bulk describes a relaxed structure of CrCu3. The functional is PBE.

Geometry as POSCAR:
```
CrCu3
1.0
4.171 2.408 0.811
-4.171 2.408 0.811
0.000 -4.816 0.811
Cr Cu
1 3
Direct
0.000 0.000 0.000
0.000 0.500 0.500
0.500 0.000 0.500
0.500 0.500 0.000
```

Properties
* E: -5.190 eV/atom
* formation enthalpy at 0 K: 0.29 eV per atom

=====

(10)
This record from Alexandria via LeMat-Bulk describes a relaxed structure of Cr3Cu. The functional is PBE.

Geometry as POSCAR:
```
Cr3Cu
1.0
-1.828 1.828 6.998
1.828 -1.828 6.998
1.828 1.828 -6.998
Cr Cu
6 2
Direct
0.000 0.500 0.500
0.122 0.122 0.000
0.250 0.750 0.500
0.500 0.000 0.500
0.750 0.250 0.500
0.878 0.878 0.000
0.375 0.375 0.000
0.625 0.625 0.000
```

Properties
* E: -7.943 eV/atom
* formation enthalpy at 0 K: 0.30 eV per atom

=====

(11)
This record from Alexandria via LeMat-Bulk describes a relaxed structure of Cr3Cu4. The functional is PBE.

Geometry as POSCAR:
```
Cr3Cu4
1.0
4.562 0.000 0.000
-2.281 3.951 0.000
0.000 0.000 4.766
Cr Cu
3 4
Direct
0.000 0.500 0.000
0.500 0.000 0.000
0.500 0.500 0.000
0.000 0.000 0.258
0.000 0.000 0.742
0.333 0.667 0.500
0.667 0.333 0.500
```

Properties
* E: -6.125 eV/atom
* formation enthalpy at 0 K: 0.34 eV per atom
* relative energy among the computed polymorphs: 56.0 meV per atom

=====

(12)
This record from Alexandria via LeMat-Bulk describes a relaxed structure of CrCu3. The functional is PBE.

Geometry as POSCAR:
```
CrCu3
1.0
2.505 0.000 0.000
0.000 4.307 0.000
0.000 0.000 4.555
Cr Cu
1 3
Direct
0.000 0.000 0.000
0.000 0.500 0.324
0.500 0.000 0.503
0.500 0.500 0.823
```

Properties
* E: -5.220 eV/atom
* formation enthalpy at 0 K: 0.26 eV per atom

=====

(13)
This record from Alexandria via LeMat-Bulk describes a relaxed structure of CrCu. The functional is PBE.

Geometry as POSCAR:
```
CrCu
1.0
2.495 0.000 0.000
-1.247 2.161 0.000
0.000 0.000 4.402
Cr Cu
1 1
Direct
0.000 0.000 0.000
0.333 0.667 0.500
```

Properties
* E: -6.502 eV/atom
* formation enthalpy at 0 K: 0.36 eV per atom

=====

(14)
This record from Alexandria via LeMat-Bulk describes a relaxed structure of CrCu. The functional is PBE.

Geometry as POSCAR:
```
CrCu
1.0
2.345 0.000 0.000
0.000 9.835 0.000
0.000 0.000 6.463
Cr Cu
6 6
Direct
0.250 0.122 0.029
0.250 0.378 0.029
0.250 0.750 0.674
0.750 0.250 0.326
0.750 0.622 0.971
0.750 0.878 0.971
0.250 0.008 0.669
0.250 0.250 0.685
0.250 0.492 0.669
0.750 0.508 0.331
0.750 0.750 0.315
0.750 0.992 0.331
```

Properties
* E: -6.365 eV/atom
* formation enthalpy at 0 K: 0.49 eV per atom

=====

(15)
This record from Alexandria via LeMat-Bulk describes a relaxed structure of CrCu. The functional is PBE.

Geometry as POSCAR:
```
CrCu
1.0
0.000 3.572 4.520
3.272 0.000 4.520
3.272 3.572 0.000
Cr Cu
4 4
Direct
0.022 0.728 0.728
0.272 0.978 0.978
0.728 0.022 0.022
0.978 0.272 0.272
0.211 0.539 0.211
0.461 0.789 0.461
0.539 0.211 0.539
0.789 0.461 0.789
```

Properties
* E: -6.151 eV/atom
* formation enthalpy at 0 K: 0.71 eV per atom

=====

(16)
This record from Alexandria via LeMat-Bulk describes a relaxed structure of Cr3Cu. The functional is PBE.

Geometry as POSCAR:
```
Cr3Cu
1.0
1.248 0.720 8.826
-1.248 0.720 8.826
0.000 -1.441 8.826
Cr Cu
3 1
Direct
0.000 0.000 0.000
0.250 0.250 0.250
0.750 0.750 0.750
0.500 0.500 0.500
```

Properties
* E: -7.891 eV/atom
* formation enthalpy at 0 K: 0.35 eV per atom

=====

(17)
This record from Alexandria via LeMat-Bulk describes a relaxed structure of Cr5Cu3. The functional is PBE.

Geometry as POSCAR:
```
Cr5Cu3
1.0
7.206 0.000 0.000
-3.603 6.241 0.000
0.000 0.000 4.321
Cr Cu
10 6
Direct
0.000 0.198 0.250
0.000 0.802 0.750
0.198 0.000 0.250
0.198 0.198 0.750
0.333 0.667 0.000
0.333 0.667 0.500
0.667 0.333 0.000
0.667 0.333 0.500
0.802 0.000 0.750
0.802 0.802 0.250
0.000 0.408 0.750
0.000 0.592 0.250
0.408 0.000 0.750
0.408 0.408 0.250
0.592 0.000 0.250
0.592 0.592 0.750
```

Properties
* E: -7.097 eV/atom
* formation enthalpy at 0 K: 0.45 eV per atom

=====

(18)
This record from Alexandria via LeMat-Bulk describes a relaxed structure of Cr3Cu. The functional is PBE.

Geometry as POSCAR:
```
Cr3Cu
1.0
5.148 0.000 0.000
-2.574 4.458 0.000
0.000 0.000 4.124
Cr Cu
6 2
Direct
0.157 0.314 0.250
0.157 0.843 0.250
0.314 0.157 0.750
0.686 0.843 0.250
0.843 0.157 0.750
0.843 0.686 0.750
0.333 0.667 0.750
0.667 0.333 0.250
```

Properties
* E: -7.965 eV/atom
* formation enthalpy at 0 K: 0.28 eV per atom

=====

(19)
This record from Alexandria via LeMat-Bulk describes a relaxed structure of CrCu. The functional is PBE.

Geometry as POSCAR:
```
CrCu
1.0
-3.671 3.671 3.671
3.671 -3.671 3.671
3.671 3.671 -3.671
Cr Cu
4 4
Direct
0.000 0.000 0.785
0.000 0.785 0.000
0.215 0.215 0.215
0.785 0.000 0.000
0.000 0.000 0.408
0.000 0.408 0.000
0.408 0.000 0.000
0.592 0.592 0.592
```

Properties
* E: -5.244 eV/atom
* formation enthalpy at 0 K: 1.62 eV per atom

=====

(20)
This record from Alexandria via LeMat-Bulk describes a relaxed structure of CrCu. The functional is PBE.

Geometry as POSCAR:
```
CrCu
1.0
8.620 0.000 0.000
-4.310 7.465 0.000
0.000 0.000 2.364
Cr Cu
6 6
Direct
0.152 0.531 0.250
0.379 0.848 0.250
0.469 0.621 0.250
0.531 0.379 0.750
0.621 0.152 0.750
0.848 0.469 0.750
0.054 0.771 0.250
0.229 0.283 0.250
0.283 0.054 0.750
0.717 0.946 0.250
0.771 0.717 0.750
0.946 0.229 0.750
```

Properties
* E: -6.337 eV/atom
* formation enthalpy at 0 K: 0.52 eV per atom